This record from the Alexandria database describes Mg2AsPb after structural relaxation. The functional is PBE.

```
4
Lattice="-2.320 -4.117 -1.086 -0.213 -4.332 2.167 -4.788 -0.014 3.101" Properties=species:S:1:pos:R:3 pbc="T T T"
Mg -2.661 -8.262 1.176
Mg -3.532 -4.419 1.995
Pb -5.491 -6.347 3.136
As -1.830 -2.116 1.045
```

Output
The energy above the lowest structure with this stoichiometry is 51.2 meV per atom. As for the density of states at the Fermi level: 1.01 states/eV/f.u. The total energy is -12.2 eV per cell.